Record 1
SrTlHg17: relaxed, GGA-PBE.

Properties
energy: -0.5704 eV/atom
DOS at the Fermi energy: 0.305 states/eV/atom
calculated volume: 1610 Å³/cell

Cell lengths 10.1966, 10.1966, 17.8820 Å; angles 90.00, 90.00, 120.00 degrees
Last column: nearest neighbours and their distance in Å.
Space group R3m (No. 160, hexagonal axes)
Inequivalent atoms, fractional coordinates:
Sr 0.0000 0.0000 0.0000 [3 per cell]  13 Hg 3.38-3.78
Tl 0.0000 0.0000 0.6680 [3 per cell]  12 Hg 3.54-3.82
Hg 0.0000 0.0000 0.2112 [3 per cell]  4 Hg 3.01
Hg 0.0000 0.0000 0.3794 [3 per cell]  10 Hg 3.01-3.32
Hg 0.9997 0.3088 0.3207 [18 per cell]  6 Hg 3.14-3.32
Hg 0.1879 0.3758 0.7899 [9 per cell]  5 Hg 3.01-3.14
Hg 0.2137 0.4275 0.5125 [9 per cell]  6 Hg 3.08-3.30
Hg 0.2148 0.4296 0.1734 [9 per cell]  5 Hg 3.09-3.28

Record 2
SrTlHg: relaxed, GGA-PBE.

Properties
energy: -1.7705 eV/atom
DOS at the Fermi energy: 1.403 states/eV/atom
distance to the lowest polymorph of the same formula: 0.097 eV per atom
calculated volume: 412 Å³/cell

Cell lengths 7.4405, 7.4405, 7.4405 Å; angles 90.00, 90.00, 90.00 degrees
Last column: nearest neighbours and their distance in Å.
Space group F-43m (No. 216)
Inequivalent atoms, fractional coordinates:
Sr 0.0000 0.0000 0.0000 [4 per cell]  4 Hg 3.22
Tl 0.0000 0.0000 0.5000 [4 per cell]  4 Hg 3.22
Hg 0.2500 0.2500 0.7500 [4 per cell]  4 Tl 3.22, 4 Sr 3.22

Record 3
Sr2Tl2Hg7: relaxed, GGA-PBE.

Properties
energy: -1.0294 eV/atom
DOS at the Fermi energy: 0.558 states/eV/atom
calculated volume: 770 Å³/cell

Cell lengths 10.6579, 11.9052, 6.0663 Å; angles 90.00, 90.00, 90.00 degrees
Last column: nearest neighbours and their distance in Å.
Space group Cmmm (No. 65)
Inequivalent atoms, fractional coordinates:
Sr 0.2009 0.0000 0.0000 [4 per cell]  8 Hg 3.36-3.71
Tl 0.0000 0.2587 0.5000 [4 per cell]  7 Hg 3.08-3.26
Hg 0.0000 0.0000 0.5000 [2 per cell]  2 Tl 3.08
Hg 0.0000 0.5000 0.2463 [4 per cell]  2 Hg 2.99-3.08, 2 Tl 3.26
Hg 0.2500 0.2500 0.2438 [8 per cell]  2 Hg 2.96-3.11, 2 Tl 3.09

Record 4
SrTl2Hg: relaxed, GGA-PBE.

Properties
energy: -1.9336 eV/atom
DOS at the Fermi energy: 0.499 states/eV/atom
calculated volume: 127 Å³/cell

Cell lengths 3.9616, 4.9099, 6.8105 Å; angles 90.00, 105.93, 90.00 degrees
Last column: nearest neighbours and their distance in Å.
Space group Pm (No. 6)
Inequivalent atoms, fractional coordinates:
Sr 0.0000 0.0000 0.0000 [1 per cell]  4 Hg 3.39-3.40, 3 Tl 3.44-3.70
Tl 0.2798 0.0000 0.5245 [1 per cell]  2 Hg 3.08, 4 Tl 3.35-3.39, 1 Sr 3.44
Tl 0.6845 0.5000 0.3437 [1 per cell]  4 Tl 3.35-3.39, 3 Hg 3.50-3.64
Hg 0.4079 0.5000 0.8092 [1 per cell]  2 Tl 3.08, 4 Sr 3.39-3.40